[1]
KTe2 | meta-GGA SCAN | PBEsol geometry

Structure (POSCAR):
```
KTe2
1.0
2.076 -10.240 0.000
2.076 10.240 0.000
0.000 0.000 5.026
K Te
2 4
direct
0.115 0.885 0.750
0.885 0.115 0.250
0.247 0.753 0.250
0.470 0.530 0.750
0.530 0.470 0.250
0.753 0.247 0.750
```



[2]
KTh2Te6 | meta-GGA SCAN | PBEsol geometry

Structure (POSCAR):
```
KTh2Te6
1.0
6.110 0.000 0.000
0.000 2.183 11.790
0.000 -2.183 11.790
K Th Te
1 2 6
direct
0.000 0.000 0.000
0.000 0.182 0.182
0.500 0.825 0.825
0.000 0.779 0.779
0.251 0.607 0.607
0.252 0.399 0.399
0.500 0.227 0.227
0.748 0.399 0.399
0.749 0.607 0.607
```



[3]
KTiTe3 | meta-GGA SCAN | PBEsol geometry

Structure (POSCAR):
```
KTiTe3
1.0
5.706 0.000 0.000
0.000 5.706 0.000
0.000 0.000 5.706
K Ti Te
1 1 3
direct
0.000 0.000 0.000
0.500 0.500 0.500
0.000 0.000 0.500
0.000 0.500 0.000
0.500 0.000 0.000
```



[4]
K4Ti3Te9 | meta-GGA SCAN | PBEsol geometry

Structure (POSCAR):
```
K4Ti3Te9
1.0
8.939 0.000 0.000
0.000 7.949 0.000
-1.354 0.000 29.284
K Ti Te
16 12 36
direct
0.067 0.213 0.065
0.067 0.287 0.565
0.125 0.739 0.765
0.125 0.761 0.265
0.391 0.735 0.485
0.391 0.765 0.985
0.431 0.222 0.183
0.431 0.278 0.683
0.569 0.722 0.317
0.569 0.778 0.817
0.609 0.235 0.015
0.609 0.265 0.515
0.875 0.239 0.735
0.875 0.261 0.235
0.933 0.713 0.435
0.933 0.787 0.935
0.081 0.188 0.371
0.081 0.312 0.871
0.252 0.735 0.127
0.252 0.765 0.627
0.415 0.198 0.382
0.415 0.302 0.882
0.585 0.698 0.118
0.585 0.802 0.618
0.748 0.235 0.373
0.748 0.265 0.873
0.919 0.688 0.129
0.919 0.812 0.629
0.070 0.665 0.050
0.070 0.835 0.550
0.071 0.525 0.661
0.071 0.975 0.161
0.115 0.017 0.674
0.115 0.483 0.174
0.234 0.157 0.945
0.234 0.343 0.445
0.253 0.596 0.877
0.253 0.904 0.377
0.255 0.157 0.808
0.255 0.343 0.308
0.384 0.012 0.575
0.384 0.488 0.075
0.422 0.523 0.590
0.422 0.977 0.090
0.448 0.666 0.200
0.448 0.834 0.700
0.552 0.166 0.300
0.552 0.334 0.800
0.578 0.023 0.910
0.578 0.477 0.410
0.616 0.512 0.925
0.616 0.988 0.425
0.745 0.657 0.692
0.745 0.843 0.192
0.747 0.096 0.623
0.747 0.404 0.123
0.766 0.657 0.555
0.766 0.843 0.055
0.885 0.517 0.826
0.885 0.983 0.326
0.929 0.025 0.839
0.929 0.475 0.339
0.930 0.165 0.450
0.930 0.335 0.950
```



[5]
KTl2Te2 | meta-GGA SCAN | PBEsol geometry

Structure (POSCAR):
```
KTl2Te2
1.0
9.026 0.000 0.000
0.000 9.026 0.000
0.000 0.000 3.953
K Tl Te
2 4 4
direct
0.000 0.000 0.000
0.500 0.500 0.000
0.124 0.376 0.000
0.376 0.876 0.000
0.624 0.124 0.000
0.876 0.624 0.000
0.176 0.676 0.500
0.324 0.176 0.500
0.676 0.824 0.500
0.824 0.324 0.500
```



[6]
KTl2Te2 | meta-GGA SCAN | PBEsol geometry

Structure (POSCAR):
```
KTl2Te2
1.0
-2.934 2.934 5.065
2.934 -2.934 5.065
2.934 2.934 -5.065
K Tl Te
1 2 2
direct
0.000 0.000 0.000
0.352 0.352 0.000
0.648 0.648 0.000
0.250 0.750 0.500
0.750 0.250 0.500
```



E (eV/atom)
-28.245 -48.270 -26.239 -26.987 -45.960 -45.955
Formation energy from raw total energies (meV/atom)
-634.2 -1194.8 982.9 -945.3 -450.3 -445.9
D(E_F) (states/eV/cell)
1.645 1.981 3.605 10.815 4.676 1.016